[1]
Density functional theory data (PBE) for crystalline Ho2InIr at its relaxed geometry.

```
Ho2InIr
1.0
5.053 0.000 0.000
2.526 4.376 0.000
2.526 1.459 4.126
Ir In Ho
1 1 2
Direct
0.500 0.500 0.500 Ir
0.000 0.000 0.000 In
0.750 0.750 0.750 Ho
0.250 0.250 0.250 Ho
```

Calculated values
The value obtained for the electronic total energy is -23.03 eV per cell. The value obtained for the volume is 22.81 Å³ per atom.

=====

[2]
Density functional theory data (PBE) for crystalline La2NdHo4 at its relaxed geometry.

```
La2NdHo4
1.0
-6.887 -7.451 1.497
9.248 -1.876 2.062
-4.159 7.388 2.643
Nd Ho La
2 8 4
Direct
0.985 0.981 0.959 Nd
0.807 0.543 0.320 Nd
0.680 0.009 0.072 Ho
0.913 0.473 0.673 Ho
0.390 0.106 0.149 Ho
0.086 0.872 0.263 Ho
0.500 0.618 0.468 Ho
0.191 0.396 0.577 Ho
0.256 0.245 0.863 Ho
0.910 0.289 0.946 Ho
0.377 0.789 0.213 La
0.293 0.819 0.615 La
0.784 0.905 0.377 La
0.578 0.454 0.756 La
```

Calculated values
The value obtained for the electronic total energy is -64.69 eV per cell. The value obtained for the volume is 33.98 Å³ per atom.

=====

[3]
Density functional theory data (PBE) for crystalline TaCu2Pb at its relaxed geometry.

```
TaCu2Pb
1.0
9.361 0.023 0.014
8.857 3.030 0.014
8.857 1.484 2.641
Pb Ta Cu
1 1 2
Direct
0.250 0.250 0.250 Pb
0.750 0.750 0.750 Ta
0.007 0.007 0.007 Cu
0.493 0.493 0.493 Cu
```

Calculated values
The value obtained for the electronic total energy is -22.04 eV per cell. The value obtained for the volume is 18.50 Å³ per atom.

=====

[4]
Density functional theory data (PBE) for crystalline Er5TlRh at its relaxed geometry.

```
Er5TlRh
1.0
-1.226 -3.468 -4.562
0.675 -5.327 2.347
-11.220 -3.168 2.234
Er Tl Rh
10 2 2
Direct
0.082 0.418 0.877 Er
0.995 0.005 0.250 Er
0.005 0.995 0.750 Er
0.460 0.790 0.933 Er
0.790 0.460 0.433 Er
0.918 0.582 0.123 Er
0.582 0.918 0.623 Er
0.418 0.082 0.377 Er
0.540 0.210 0.067 Er
0.210 0.540 0.567 Er
0.597 0.403 0.750 Tl
0.403 0.597 0.250 Tl
0.000 0.000 0.500 Rh
0.000 0.000 0.000 Rh
```

Calculated values
The value obtained for the electronic total energy is -68.65 eV per cell. The value obtained for the volume is 27.46 Å³ per atom.

=====

[5]
Density functional theory data (PBE) for crystalline Tl12As5Au3 at its relaxed geometry.

```
Tl12As5Au3
1.0
14.766 0.000 0.000
-4.922 13.922 0.000
-4.922 -6.961 12.057
Tl As Au
48 20 12
Direct
0.375 0.432 0.106 Tl
0.269 0.394 0.826 Tl
0.068 0.894 0.125 Tl
0.057 0.432 0.826 Tl
0.443 0.769 0.875 Tl
0.826 0.932 0.057 Tl
0.174 0.068 0.943 Tl
0.057 0.625 0.731 Tl
0.174 0.106 0.731 Tl
0.231 0.674 0.106 Tl
0.826 0.894 0.269 Tl
0.568 0.625 0.394 Tl
0.125 0.731 0.557 Tl
0.932 0.106 0.875 Tl
0.769 0.326 0.894 Tl
0.943 0.375 0.269 Tl
0.625 0.057 0.231 Tl
0.674 0.231 0.606 Tl
0.875 0.606 0.932 Tl
0.943 0.568 0.174 Tl
0.106 0.174 0.231 Tl
0.443 0.674 0.068 Tl
0.731 0.125 0.057 Tl
0.606 0.731 0.674 Tl
0.557 0.231 0.125 Tl
0.394 0.125 0.568 Tl
0.731 0.606 0.174 Tl
0.394 0.269 0.326 Tl
0.606 0.875 0.432 Tl
0.432 0.375 0.606 Tl
0.375 0.943 0.769 Tl
0.068 0.174 0.443 Tl
0.674 0.443 0.568 Tl
0.231 0.557 0.625 Tl
0.894 0.826 0.769 Tl
0.932 0.826 0.557 Tl
0.625 0.568 0.894 Tl
0.432 0.057 0.326 Tl
0.326 0.557 0.432 Tl
0.894 0.068 0.625 Tl
0.557 0.326 0.932 Tl
0.269 0.875 0.943 Tl
0.769 0.443 0.375 Tl
0.125 0.394 0.068 Tl
0.326 0.769 0.394 Tl
0.568 0.943 0.674 Tl
0.875 0.269 0.443 Tl
0.106 0.932 0.375 Tl
0.375 0.250 0.125 As
0.500 0.500 0.500 As
0.750 0.125 0.875 As
0.000 0.000 0.000 As
0.250 0.875 0.125 As
0.625 0.875 0.250 As
0.375 0.125 0.750 As
0.000 0.500 0.500 As
0.875 0.250 0.625 As
0.500 0.500 0.000 As
0.500 0.000 0.000 As
0.000 0.500 0.000 As
0.125 0.375 0.250 As
0.250 0.375 0.625 As
0.750 0.625 0.375 As
0.000 0.000 0.500 As
0.500 0.000 0.500 As
0.625 0.750 0.875 As
0.125 0.750 0.375 As
0.875 0.625 0.750 As
0.625 0.375 0.750 Au
0.125 0.250 0.875 Au
0.375 0.750 0.625 Au
0.875 0.750 0.125 Au
0.875 0.125 0.250 Au
0.125 0.875 0.750 Au
0.625 0.250 0.375 Au
0.750 0.375 0.125 Au
0.250 0.625 0.875 Au
0.750 0.875 0.625 Au
0.375 0.625 0.250 Au
0.250 0.125 0.375 Au
```

Calculated values
The value obtained for the electronic total energy is -237.41 eV per cell. The value obtained for the volume is 30.98 Å³ per atom.

=====

[6]
Density functional theory data (PBE) for crystalline BeAl4Os at its relaxed geometry.

```
BeAl4Os
1.0
-0.752 -1.402 4.693
2.034 2.577 3.712
-2.864 2.739 2.976
Os Al Be
1 4 1
Direct
0.000 0.000 0.000 Os
0.122 0.626 0.626 Al
0.626 0.626 0.122 Al
0.626 0.122 0.626 Al
0.626 0.626 0.626 Al
0.250 0.250 0.250 Be
```

Calculated values
The value obtained for the electronic total energy is -28.31 eV per cell. The value obtained for the volume is 14.34 Å³ per atom.

=====

[7]
Density functional theory data (PBE) for crystalline LiYPS4 at its relaxed geometry.

```
LiYPS4
1.0
-2.426 -3.150 -6.259
4.867 -2.512 -5.014
0.562 -7.348 -0.912
Li S P Y
2 8 2 2
Direct
0.000 0.000 0.500 Li
0.500 0.000 0.500 Li
0.737 0.752 0.252 S
0.265 0.251 0.218 S
0.263 0.248 0.748 S
0.742 0.248 0.748 S
0.735 0.282 0.249 S
0.735 0.749 0.782 S
0.265 0.718 0.751 S
0.258 0.752 0.252 S
0.630 0.620 0.120 P
0.370 0.380 0.880 P
0.000 0.000 0.000 Y
0.000 0.500 0.500 Y
```

Calculated values
The value obtained for the electronic total energy is -73.57 eV per cell. Its energy relative to the elements, uncorrected is -0.9266 eV per atom. The value obtained for the volume is 20.98 Å³ per atom.

=====

[8]
Density functional theory data (PBE) for crystalline SrAgC2 at its relaxed geometry.

```
SrAgC2
1.0
-3.171 -1.500 -2.499
1.608 -3.980 0.348
-4.992 -3.912 4.972
C Sr Ag
4 2 2
Direct
0.875 0.625 0.250 C
0.375 0.125 0.750 C
0.875 0.125 0.250 C
0.875 0.125 0.750 C
0.500 0.500 0.000 Sr
0.250 0.750 0.500 Sr
0.000 0.000 0.000 Ag
0.750 0.250 0.500 Ag
```

Calculated values
The value obtained for the electronic total energy is -34.29 eV per cell. The value obtained for the volume is 17.30 Å³ per atom.

=====

[9]
Density functional theory data (PBE) for crystalline ScAg2Cl at its relaxed geometry.

```
ScAg2Cl
1.0
3.148 0.000 0.000
0.000 3.148 0.000
0.000 0.000 8.874
Ag Sc Cl
2 1 1
Direct
0.000 0.000 0.980 Ag
0.500 0.500 0.189 Ag
0.500 0.500 0.749 Sc
0.000 0.000 0.582 Cl
```

Calculated values
The value obtained for the electronic total energy is -16.03 eV per cell. Its energy relative to the elements, uncorrected is -0.5374 eV per atom. The value obtained for the volume is 21.98 Å³ per atom.

=====

[10]
Density functional theory data (PBE) for crystalline SrHo3Rh at its relaxed geometry.

```
SrHo3Rh
1.0
5.482 0.000 0.000
0.000 5.482 0.000
0.000 0.000 5.482
Sr Ho Rh
1 3 1
Direct
0.500 0.500 0.500 Sr
0.000 0.000 0.500 Ho
0.000 0.500 0.000 Ho
0.500 0.000 0.000 Ho
0.000 0.000 0.000 Rh
```

Calculated values
The value obtained for the electronic total energy is -24.24 eV per cell. The value obtained for the volume is 32.95 Å³ per atom.

=====

[11]
Density functional theory data (PBE) for crystalline TlCo2PtPb at its relaxed geometry.

```
TlCo2PtPb
1.0
-4.036 -0.534 -2.555
-0.572 -4.755 1.897
-2.555 1.770 3.667
Tl Pb Co Pt
1 1 2 1
Direct
0.000 0.500 0.000 Tl
0.500 0.500 0.500 Pb
0.000 0.000 0.500 Co
0.500 0.000 0.000 Co
0.000 0.000 0.000 Pt
```

Calculated values
The value obtained for the electronic total energy is -22.37 eV per cell. The value obtained for the volume is 23.80 Å³ per atom.

=====

[12]
Density functional theory data (PBE) for crystalline LaNd5In3 at its relaxed geometry.

```
LaNd5In3
1.0
-6.950 0.182 -0.477
-0.708 -3.444 8.999
0.354 9.536 -1.510
Nd La In
10 2 6
Direct
0.250 0.669 0.000 Nd
0.500 0.667 0.333 Nd
0.750 0.331 0.000 Nd
0.250 0.000 0.669 Nd
0.500 0.333 0.667 Nd
0.750 0.669 0.669 Nd
0.000 0.333 0.667 Nd
0.000 0.667 0.333 Nd
0.250 0.331 0.331 Nd
0.750 0.000 0.331 Nd
0.500 0.000 0.000 La
0.000 0.000 0.000 La
0.250 0.000 0.338 In
0.250 0.338 0.000 In
0.750 0.338 0.338 In
0.750 0.000 0.662 In
0.250 0.662 0.662 In
0.750 0.662 0.000 In
```

Calculated values
The value obtained for the electronic total energy is -80.17 eV per cell. The value obtained for the volume is 31.30 Å³ per atom.

=====

[13]
Density functional theory data (PBE) for crystalline BaLa2Ir at its relaxed geometry.

```
BaLa2Ir
1.0
6.853 -0.001 -0.004
2.693 6.299 0.011
-3.839 -4.560 3.374
La Ba Ir
2 1 1
Direct
0.079 0.078 0.000 La
0.421 0.422 0.000 La
0.750 0.250 0.500 Ba
0.250 0.750 0.500 Ir
```

Calculated values
The value obtained for the electronic total energy is -21.83 eV per cell. The value obtained for the volume is 36.48 Å³ per atom.

=====

[14]
Density functional theory data (PBE) for crystalline TbNd6Dy2Y3 at its relaxed geometry.

```
TbNd6Dy2Y3
1.0
-0.508 -5.335 3.293
5.208 1.156 -3.332
3.211 6.674 9.308
Nd Dy Y Tb
6 2 3 1
Direct
0.583 0.917 0.751 Nd
0.417 0.083 0.249 Nd
0.083 0.417 0.249 Nd
0.750 0.750 0.249 Nd
0.917 0.583 0.751 Nd
0.250 0.250 0.751 Nd
0.333 0.667 0.000 Dy
0.667 0.333 0.000 Dy
0.833 0.167 0.500 Y
0.500 0.500 0.500 Y
0.167 0.833 0.500 Y
0.000 0.000 0.000 Tb
```

Calculated values
The value obtained for the electronic total energy is -61.72 eV per cell. The value obtained for the volume is 33.43 Å³ per atom.

=====

[15]
Density functional theory data (PBE) for crystalline CePrPa4 at its relaxed geometry.

```
CePrPa4
1.0
-0.750 -6.081 -0.354
2.953 -3.689 3.915
-3.124 -2.966 4.371
Pr Pa Ce
1 4 1
Direct
0.250 0.250 0.250 Pr
0.625 0.126 0.625 Pa
0.126 0.625 0.625 Pa
0.625 0.625 0.126 Pa
0.625 0.625 0.625 Pa
0.000 0.000 0.000 Ce
```

Calculated values
The value obtained for the electronic total energy is -47.38 eV per cell. The value obtained for the volume is 27.24 Å³ per atom.

=====

[16]
Density functional theory data (PBE) for crystalline Nb2ReW at its relaxed geometry.

```
Nb2ReW
1.0
4.750 -1.845 -3.109
-1.449 4.886 3.109
-3.171 0.130 5.056
Nb W Re
2 1 1
Direct
0.000 0.258 0.258 Nb
0.000 0.742 0.742 Nb
0.000 0.000 0.000 W
0.000 0.500 0.500 Re
```

Calculated values
The value obtained for the electronic total energy is -42.42 eV per cell. The value obtained for the volume is 18.13 Å³ per atom.

=====

[17]
Density functional theory data (PBE) for crystalline PaFe2CoP2 at its relaxed geometry.

```
PaFe2CoP2
1.0
3.904 0.000 0.000
-1.952 3.381 0.000
0.000 0.000 6.104
Co Fe P Pa
1 2 2 1
Direct
0.000 0.000 0.500 Co
0.667 0.333 0.305 Fe
0.333 0.667 0.695 Fe
0.667 0.333 0.689 P
0.333 0.667 0.311 P
0.000 0.000 0.000 Pa
```

Calculated values
The value obtained for the electronic total energy is -48.43 eV per cell. The value obtained for the volume is 13.43 Å³ per atom.

=====

[18]
Density functional theory data (PBE) for crystalline Pr6Sn3Sb at its relaxed geometry.

```
Pr6Sn3Sb
1.0
7.629 0.000 -0.014
0.000 8.700 0.000
0.086 0.000 10.655
Pr Sn Sb
12 6 2
Direct
0.692 0.422 0.250 Pr
0.308 0.578 0.750 Pr
0.157 0.323 0.069 Pr
0.658 0.175 0.934 Pr
0.192 0.078 0.750 Pr
0.342 0.825 0.066 Pr
0.808 0.922 0.250 Pr
0.842 0.675 0.566 Pr
0.158 0.325 0.434 Pr
0.343 0.823 0.431 Pr
0.657 0.177 0.569 Pr
0.843 0.677 0.931 Pr
0.948 0.383 0.748 Sn
0.448 0.117 0.248 Sn
0.500 0.500 0.000 Sn
0.552 0.883 0.752 Sn
0.000 0.000 0.500 Sn
0.052 0.617 0.252 Sn
0.500 0.500 0.500 Sb
0.000 0.000 0.000 Sb
```

Calculated values
The value obtained for the electronic total energy is -101.54 eV per cell. Its energy relative to the elements, uncorrected is -0.5961 eV per atom. The value obtained for the volume is 35.36 Å³ per atom.

=====

[19]
Density functional theory data (PBE) for crystalline SrY2Be at its relaxed geometry.

```
SrY2Be
1.0
-4.983 0.570 2.922
0.228 -5.319 -4.114
0.698 -2.687 2.166
Be Y Sr
1 2 1
Direct
0.000 0.500 0.500 Be
0.000 0.000 0.000 Y
0.500 0.000 0.500 Y
0.500 0.500 0.000 Sr
```

Calculated values
The value obtained for the electronic total energy is -16.05 eV per cell. The value obtained for the volume is 29.91 Å³ per atom.

=====

[20]
Density functional theory data (PBE) for crystalline BeGaGe3 at its relaxed geometry.

```
BeGaGe3
1.0
-2.993 2.911 2.543
-3.500 -3.406 -0.220
1.641 -1.956 4.170
Ge Ga Be
3 1 1
Direct
0.500 0.000 0.000 Ge
0.000 0.500 0.000 Ge
0.000 0.000 0.500 Ge
0.000 0.000 0.000 Ga
0.500 0.500 0.500 Be
```

Calculated values
The value obtained for the electronic total energy is -15.25 eV per cell. The value obtained for the volume is 23.37 Å³ per atom.